# 1
Material: Dy2Tm3In4
Method: DFT, PBE-GGA
State: relaxed

Calculated values
DOS(E_F) = 6.485 states/eV/f.u.
Space group = No. 64
Total magnetization = 0.0 μB per formula unit
ΔE_f = -0.246 eV per atom
Total DFT energy (no corrections) = -3.976 eV per atom

abc: 8.7786 8.7786 9.1415
angles: 90.00 90.00 133.22
Last column: nearest neighbours and their distance in Å.
Element x y z (fractional)
1 Dy 0.1112 0.8888 0.9297  3 In 3.25-3.39
2 Dy 0.3888 0.6112 0.4297  3 In 3.25-3.39
3 Dy 0.6112 0.3888 0.5703  3 In 3.25-3.39
4 Dy 0.8888 0.1112 0.0703  3 In 3.25-3.39
5 Tm 0.0000 0.0000 0.5000  6 In 2.90-3.05
6 Tm 0.0368 0.4632 0.7500  5 In 3.03-3.20
7 Tm 0.4632 0.0368 0.2500  5 In 3.03-3.20
8 Tm 0.5000 0.5000 0.0000  6 In 2.90-3.05
9 Tm 0.5368 0.9632 0.7500  5 In 3.03-3.20
10 Tm 0.9632 0.5368 0.2500  5 In 3.03-3.20
11 In 0.1877 0.8123 0.5398  5 Tm 3.05-3.20, 1 Dy 3.39
12 In 0.2251 0.2749 0.7500  3 Tm 2.90-3.03, 2 Dy 3.25
13 In 0.2749 0.2251 0.2500  3 Tm 2.90-3.03, 2 Dy 3.25
14 In 0.3123 0.6877 0.0398  5 Tm 3.05-3.20, 1 Dy 3.39
15 In 0.6877 0.3123 0.9602  5 Tm 3.05-3.20, 1 Dy 3.39
16 In 0.7251 0.7749 0.7500  3 Tm 2.90-3.03, 2 Dy 3.25
17 In 0.7749 0.7251 0.2500  3 Tm 2.90-3.03, 2 Dy 3.25
18 In 0.8123 0.1877 0.4602  5 Tm 3.05-3.20, 1 Dy 3.39

---

# 2
Material: PbAuN2
Method: DFT, PBE-GGA
State: relaxed

Calculated values
DOS(E_F) = 1.047 states/eV/f.u.
Space group = No. 2
Total magnetization = 0.0 μB per formula unit
Energy relative to the elements, uncorrected = 0.06 eV/atom
Total DFT energy (no corrections) = -5.847 eV per atom

abc: 3.9030 3.9053 16.3612
angles: 85.10 84.66 89.89
Last column: nearest neighbours and their distance in Å.
Element x y z (fractional)
1 Pb 0.0546 0.0509 0.3585  4 Au 3.01-3.02
2 Pb 0.9454 0.9491 0.6415  4 Au 3.01-3.02
3 Au 0.0000 0.5000 0.5000  4 Au 2.76, 4 Pb 3.01-3.02
4 Au 0.5000 0.0000 0.5000  4 Au 2.76, 4 Pb 3.01
5 N 0.2808 0.5088 0.8699  1 N 1.11
6 N 0.4388 0.3273 0.9068  1 N 1.11
7 N 0.5612 0.6727 0.0932  1 N 1.11
8 N 0.7192 0.4912 0.1301  1 N 1.11

---

# 3
Material: AcLa2HoTm
Method: DFT, PBE-GGA
State: relaxed

Calculated values
DOS(E_F) = 7.595 states/eV/f.u.
Space group = No. 63
Total magnetization = 0.0 μB per formula unit
ΔE_f = 0.385 eV per atom
Total DFT energy (no corrections) = -4.217 eV per atom

abc: 9.3388 9.3388 6.5309
angles: 90.00 90.00 138.75
Last column: nearest neighbours and their distance in Å.
Element x y z (fractional)
1 Ac 0.1594 0.8406 0.7500  1 Ho 3.26, 2 Tm 3.60, 4 La 3.64
2 Ac 0.8406 0.1594 0.2500  1 Ho 3.26, 2 Tm 3.60, 4 La 3.64
3 La 0.2555 0.2555 0.0000  4 La 3.22-3.36, 2 Ho 3.54
4 La 0.2555 0.2555 0.5000  4 La 3.22-3.36, 2 Ho 3.54
5 La 0.7445 0.7445 0.0000  4 La 3.22-3.36, 2 Ho 3.54
6 La 0.7445 0.7445 0.5000  4 La 3.22-3.36, 2 Ho 3.54
7 Ho 0.3456 0.6544 0.7500  1 Ac 3.26, 4 La 3.54, 2 Tm 3.62
8 Ho 0.6544 0.3456 0.2500  1 Ac 3.26, 4 La 3.54, 2 Tm 3.62
9 Tm 0.2567 0.7433 0.2500  4 Ac 3.60-3.68, 4 Ho 3.62-3.74
10 Tm 0.7433 0.2567 0.7500  4 Ac 3.60-3.68, 4 Ho 3.62-3.74

---

# 4
Material: CsK10Rb
Method: DFT, PBE-GGA
State: relaxed

Calculated values
DOS(E_F) = 9.280 states/eV/f.u.
Space group = No. 47
Total magnetization = 0.0 μB per formula unit
ΔE_f = 0.039 eV per atom
Total DFT energy (no corrections) = -1.028 eV per atom

abc: 7.5261 8.7231 15.2638
angles: 90.00 90.00 90.00
Last column: nearest neighbours and their distance in Å.
Element x y z (fractional)
1 Cs 0.0000 0.0000 0.0000  6 K 5.07-5.14
2 K 0.0000 0.0000 0.3367  9 K 4.51-5.05, 2 Rb 5.02
3 K 0.0000 0.0000 0.6633  9 K 4.51-5.05, 2 Rb 5.02
4 K 0.0000 0.5000 0.1695  8 K 4.52-5.05, 1 Rb 5.04
5 K 0.0000 0.5000 0.8305  8 K 4.52-5.05, 1 Rb 5.04
6 K 0.5000 0.0000 0.5000  8 K 4.37-4.51
7 K 0.5000 0.2508 0.2519  8 K 4.35-4.54
8 K 0.5000 0.2508 0.7481  8 K 4.35-4.54
9 K 0.5000 0.5000 0.0000  8 K 4.42-4.57
10 K 0.5000 0.7492 0.2519  8 K 4.35-4.54
11 K 0.5000 0.7492 0.7481  8 K 4.35-4.54
12 Rb 0.0000 0.5000 0.5000  6 K 5.02-5.04

---

# 5
Material: Pm2SmHo3Se6
Method: DFT, PBE-GGA
State: relaxed

Calculated values
DOS(E_F) = 5.275 states/eV/f.u.
Space group = No. 12
Total magnetization = 0.0 μB per formula unit
Energy relative to the elements, uncorrected = -1.78 eV/atom
Total DFT energy (no corrections) = -5.852 eV per atom

abc: 9.2525 9.2525 8.3264
angles: 104.24 104.24 25.52
Last column: nearest neighbours and their distance in Å.
Element x y z (fractional)
1 Pm 0.1669 0.1669 0.3336  6 Se 2.96-2.97
2 Pm 0.8331 0.8331 0.6664  6 Se 2.96-2.97
3 Sm 0.5000 0.5000 0.0000  6 Se 2.95-2.96
4 Ho 0.1671 0.1671 0.8332  6 Se 2.86-2.87
5 Ho 0.5000 0.5000 0.5000  6 Se 2.86-2.87
6 Ho 0.8329 0.8329 0.1668  6 Se 2.86-2.87
7 Se 0.0030 0.0030 0.7439  3 Ho 2.87, 2 Sm 2.96, 1 Pm 2.97
8 Se 0.3311 0.3311 0.9247  3 Ho 2.86, 1 Sm 2.95, 2 Pm 2.97
9 Se 0.3364 0.3364 0.4092  3 Ho 2.86, 3 Pm 2.96-2.97
10 Se 0.6636 0.6636 0.5908  3 Ho 2.86, 3 Pm 2.96-2.97
11 Se 0.6689 0.6689 0.0753  3 Ho 2.86, 1 Sm 2.95, 2 Pm 2.97
12 Se 0.9970 0.9970 0.2561  3 Ho 2.87, 2 Sm 2.96, 1 Pm 2.97

---

# 6
Material: LiTi2CuI
Method: DFT, PBE-GGA
State: relaxed

Calculated values
DOS(E_F) = 7.169 states/eV/f.u.
Space group = No. 123
Total magnetization = 0.0 μB per formula unit
Energy relative to the elements, uncorrected = 0.80 eV/atom
Total DFT energy (no corrections) = -3.872 eV per atom

abc: 4.6630 4.6630 5.6547
angles: 90.00 90.00 90.00
Last column: nearest neighbours and their distance in Å.
Element x y z (fractional)
1 Li 0.0000 0.0000 0.0000  4 I 3.30, 8 Ti 3.66
2 Ti 0.0000 0.5000 0.5000  2 Cu 2.33
3 Ti 0.5000 0.0000 0.5000  2 Cu 2.33
4 Cu 0.5000 0.5000 0.5000  4 Ti 2.33
5 I 0.5000 0.5000 0.0000  2 Cu 2.83

---

# 7
Material: La2PmGa
Method: DFT, PBE-GGA
State: relaxed

Calculated values
DOS(E_F) = 8.276 states/eV/f.u.
Space group = No. 225
Energy above the lowest structure with this stoichiometry = 0.1678 eV/atom
Total magnetization = 0.0 μB per formula unit
ΔE_f = -0.099 eV per atom
Total DFT energy (no corrections) = -4.507 eV per atom

abc: 5.5538 5.5538 5.5538
angles: 60.00 60.00 60.00
Last column: nearest neighbours and their distance in Å.
Element x y z (fractional)
1 La 0.2500 0.2500 0.2500  4 Ga 3.40, 4 Pm 3.40
2 La 0.7500 0.7500 0.7500  4 Ga 3.40, 4 Pm 3.40
3 Pm 0.0000 0.0000 0.0000  8 La 3.40
4 Ga 0.5000 0.5000 0.5000  8 La 3.40

---

# 8
Material: InFeTc2Sb
Method: DFT, PBE-GGA
State: relaxed

Calculated values
DOS(E_F) = 5.515 states/eV/f.u.
Space group = No. 123
Total magnetization = 0.4 μB per formula unit
Energy relative to the elements, uncorrected = 0.94 eV/atom
Total DFT energy (no corrections) = -6.272 eV per atom

abc: 4.5213 4.5213 4.7471
angles: 90.00 90.00 90.00
Last column: nearest neighbours and their distance in Å.
Element x y z (fractional)
1 In 0.0000 0.0000 0.0000  2 Fe 2.37
2 Fe 0.0000 0.0000 0.5000  4 Tc 2.26, 2 In 2.37
3 Tc 0.0000 0.5000 0.5000  2 Fe 2.26
4 Tc 0.5000 0.0000 0.5000  2 Fe 2.26
5 Sb 0.5000 0.5000 0.0000  4 In 3.20, 8 Tc 3.28